Below is a relaxed structure of SrNiO2F, with properties calculated at the PBE with a Hubbard U level.

Calculated total energy in eV/atom: -3.7880

Cell and atoms, written as POSCAR:
```
SrNiO2F
1.0
4.5861 0.0000 0.0000
0.0000 4.5861 0.0000
0.0000 0.0000 4.4851
Sr Ni O F
1 1 2 1
Direct
0.0000 0.0000 0.0000
0.5000 0.5000 0.5000
0.0000 0.5000 0.0000
0.5000 0.0000 0.0000
0.0000 0.0000 0.5000
```